Be2TlSe, optimized geometry, DFT PBE; DOS(E_F) = 2.1 states/eV/f.u.; total moment = 0.00 μB/f.u.; E_form (uncorrected) = 803 meV per atom; calculated density = 7.08 g/cm3; polymorph energy (0 for the lowest one) = 0.762 eV per atom
1.0
4.8260 -0.0104 0.0000
0.8908 4.7431 0.0000
-2.8584 -2.3664 3.0855
Be Tl Se
2 1 1
Direct
0.0000 0.0000 0.0000 Be
0.5000 0.5000 0.0000 Be
0.7500 0.2500 0.5000 Tl
0.2500 0.7500 0.5000 Se

CsSbPHPt, optimized geometry, DFT PBE; DOS(E_F) = 0.4 states/eV/f.u.; total moment = 0.00 μB/f.u.; calculated density = 5.91 g/cm3; polymorph energy (0 for the lowest one) = 0.120 eV per atom
1.0
4.0747 -0.0069 0.0112
0.1588 5.1459 -0.0152
0.1249 1.8924 6.4545
Cs Sb P H Pt
1 1 1 1 1
Direct
0.3050 0.8085 0.0053 Cs
0.8292 0.1130 0.4263 Sb
0.8335 0.5948 0.6368 P
0.5806 0.6344 0.4564 H
0.3053 0.3685 0.5481 Pt